Below is crystalline CaHf2Sb at its relaxed geometry, with properties calculated at the GGA-PBE level.

Calculated values
magnetization = 0.0 Bohr magnetons per cell
E_form (uncorrected) = 0.297 eV/atom
symmetry = I-42d
DFT total energy = -6.210 eV per atom

a b c (Å): 6.7382 6.7382 6.7382
angles (deg): 101.50 101.50 126.96
Positions (direct):
Ca 0.0000 0.0000 0.0000
Ca 0.7500 0.2500 0.5000
Hf 0.1678 0.1250 0.5428
Hf 0.3750 0.8322 0.9572
Hf 0.5822 0.6250 0.4572
Hf 0.8750 0.4178 0.0428
Sb 0.2500 0.7500 0.5000
Sb 0.5000 0.5000 0.0000